Computed, not measured: crystalline Tb6Ho2Er3 at its relaxed geometry at the PBE-GGA level of DFT.

Cell: 31.6941 31.6941 31.6941 Å, 6.39 6.39 6.39°
Last column: nearest neighbours and their distance in Å.
Sites, in units of the cell vectors:
Tb: 0.0907 0.0907 0.0907  3 Er 3.52, 3 Ho 3.53, 6 Tb 3.53
Tb: 0.1820 0.1820 0.1820  3 Ho 3.53, 9 Tb 3.53-3.55
Tb: 0.3636 0.3636 0.3636  6 Er 3.52, 6 Tb 3.53
Tb: 0.6364 0.6364 0.6364  6 Er 3.52, 6 Tb 3.53
Tb: 0.8180 0.8180 0.8180  3 Ho 3.53, 9 Tb 3.53-3.55
Tb: 0.9093 0.9093 0.9093  3 Er 3.52, 3 Ho 3.53, 6 Tb 3.53
Ho: 0.4544 0.4544 0.4544  6 Tb 3.53, 6 Ho 3.53
Ho: 0.5456 0.5456 0.5456  6 Tb 3.53, 6 Ho 3.53
Er: 0.0000 0.0000 0.0000  6 Tb 3.52, 6 Er 3.53
Er: 0.2729 0.2729 0.2729  6 Tb 3.52, 6 Er 3.53
Er: 0.7271 0.7271 0.7271  6 Tb 3.52, 6 Er 3.53

Size of the total moment   0.0 μB per cell
Density of states at the Fermi level   1.32 states/eV per atom
DFT total energy   -50.42 eV for the cell shown
ΔH_f (0 K)   0.018 eV/atom

***

Computed, not measured: crystalline BaPr14Nd at its relaxed geometry at the PBE-GGA level of DFT.

Cell: 7.4933 7.4933 10.5476 Å, 90.00 90.00 90.00°
Last column: nearest neighbours and their distance in Å.
Sites, in units of the cell vectors:
Ba: 0.0000 0.0000 0.0000  12 Pr 3.75-3.82
Pr: 0.0000 0.0000 0.5000  12 Pr 3.75
Pr: 0.0000 0.5000 0.0000  2 Nd 3.75, 2 Ba 3.75, 8 Pr 3.78
Pr: 0.0000 0.5000 0.5000  12 Pr 3.70-3.75
Pr: 0.2560 0.2560 0.2552  10 Pr 3.65-3.84, 1 Nd 3.73, 1 Ba 3.82
Pr: 0.2560 0.2560 0.7448  10 Pr 3.65-3.84, 1 Nd 3.73, 1 Ba 3.82
Pr: 0.2560 0.7440 0.2552  10 Pr 3.65-3.84, 1 Nd 3.73, 1 Ba 3.82
Pr: 0.2560 0.7440 0.7448  10 Pr 3.65-3.84, 1 Nd 3.73, 1 Ba 3.82
Pr: 0.5000 0.0000 0.0000  2 Nd 3.75, 2 Ba 3.75, 8 Pr 3.78
Pr: 0.5000 0.0000 0.5000  12 Pr 3.70-3.75
Pr: 0.5000 0.5000 0.5000  12 Pr 3.65-3.75
Pr: 0.7440 0.2560 0.2552  10 Pr 3.65-3.84, 1 Nd 3.73, 1 Ba 3.82
Pr: 0.7440 0.2560 0.7448  10 Pr 3.65-3.84, 1 Nd 3.73, 1 Ba 3.82
Pr: 0.7440 0.7440 0.2552  10 Pr 3.65-3.84, 1 Nd 3.73, 1 Ba 3.82
Pr: 0.7440 0.7440 0.7448  10 Pr 3.65-3.84, 1 Nd 3.73, 1 Ba 3.82
Nd: 0.5000 0.5000 0.0000  12 Pr 3.73-3.75

Size of the total moment   0.0 μB per cell
Density of states at the Fermi level   1.59 states/eV per atom
DFT total energy   -72.82 eV for the cell shown
ΔH_f (0 K)   0.049 eV/atom

***

Computed, not measured: crystalline ErPu3Ru2 at its relaxed geometry at the PBE-GGA level of DFT.

Cell: 4.5318 8.8171 6.4435 Å, 90.00 90.00 90.00°
Last column: nearest neighbours and their distance in Å.
Sites, in units of the cell vectors:
Er: 0.0000 0.0747 0.0000  5 Ru 2.90-2.91
Er: 0.0000 0.9253 0.5000  5 Ru 2.90-2.91
Pu: 0.0000 0.3187 0.5957  2 Ru 2.65-2.87, 2 Pu 2.84
Pu: 0.0000 0.6813 0.0957  2 Ru 2.65-2.87, 2 Pu 2.84
Pu: 0.5000 0.2198 0.3670  2 Ru 2.60-2.69, 2 Pu 2.84
Pu: 0.5000 0.4046 0.9083  2 Ru 2.79
Pu: 0.5000 0.5954 0.4083  2 Ru 2.79
Pu: 0.5000 0.7802 0.8670  2 Ru 2.60-2.69, 2 Pu 2.84
Ru: 0.0000 0.3838 0.1586  4 Pu 2.65-2.87, 1 Er 2.91
Ru: 0.0000 0.6162 0.6586  4 Pu 2.65-2.87, 1 Er 2.91
Ru: 0.5000 0.0544 0.7186  2 Pu 2.60-2.69, 4 Er 2.90-2.91
Ru: 0.5000 0.9456 0.2186  2 Pu 2.60-2.69, 4 Er 2.90-2.91

Size of the total moment   10.9 μB per cell
Density of states at the Fermi level   3.15 states/eV per atom
DFT total energy   -133.17 eV for the cell shown
ΔH_f (0 K)   -0.079 eV/atom

***

Question: The lowest ΔH_f (0 K) belongs to which entry?
Answer: ErPu3Ru2